The following is a PBE-GGA calculation of a relaxed BeFeBr2 crystal, from the Alexandria database.

space group = I-42d, No. 122
magnetization = 2.010 μB/f.u.
raw formation energy = 0.351 eV/atom
volume = 153 Å³ per cell
distance to the lowest polymorph of the same formula = 1.52 eV per formula unit

```
BeFeBr2
1.0
-1.778 4.737 2.017
1.302 -1.650 5.024
4.489 3.557 2.957
Fe Br Be
2 4 2
Direct
0.000 0.000 0.000
0.750 0.250 0.500
0.875 0.846 0.750
0.596 0.125 0.250
0.375 0.404 0.750
0.154 0.625 0.250
0.250 0.750 0.500
0.500 0.500 0.000
```